[1]
Below is a relaxed structure of Cd4CuW, with properties calculated at the PBE level.

```
data_Cd4CuW
_space_group_name_H-M_alt 'F -4 3 m'
_space_group_IT_number 216
_space_group_name_Hall 'F -4 2 3'
_cell_length_a 7.8496
_cell_length_b 7.8496
_cell_length_c 7.8496
_cell_angle_alpha 90.00
_cell_angle_beta 90.00
_cell_angle_gamma 90.00
loop_
_atom_site_label
_atom_site_type_symbol
_atom_site_fract_x
_atom_site_fract_y
_atom_site_fract_z
Cd1 Cd 0.1251 0.1251 0.1251
Cu1 Cu 0.2500 0.2500 0.7500
W1 W 0.0000 0.0000 0.5000
```

Values from the calculation:
**Energy of formation from the pure elements**: 5.26 eV per formula unit
**Spin magnetization**: 2.84 μB per formula unit
**Crystal system**: cubic

[2]
Below is a relaxed structure of CdCuW2, with properties calculated at the PBE level.

```
data_CdCuW2
_space_group_name_H-M_alt 'I 4/m m m'
_space_group_IT_number 139
_space_group_name_Hall '-I 4 2'
_cell_length_a 3.7954
_cell_length_b 3.7954
_cell_length_c 8.8939
_cell_angle_alpha 90.00
_cell_angle_beta 90.00
_cell_angle_gamma 90.00
loop_
_atom_site_label
_atom_site_type_symbol
_atom_site_fract_x
_atom_site_fract_y
_atom_site_fract_z
Cd1 Cd 0.0000 0.0000 0.0000
Cu1 Cu 0.0000 0.0000 0.5000
W1 W 0.0000 0.5000 0.2500
```

Values from the calculation:
**Energy of formation from the pure elements**: 2.14 eV per formula unit
**Spin magnetization**: 0.00 μB per formula unit
**Crystal system**: tetragonal

[3]
Below is a relaxed structure of Cd3CuW, with properties calculated at the PBE level.

```
data_Cd3CuW
_space_group_name_H-M_alt 'P m -3 m'
_space_group_IT_number 221
_space_group_name_Hall '-P 4 2 3'
_cell_length_a 5.3976
_cell_length_b 5.3976
_cell_length_c 5.3976
_cell_angle_alpha 90.00
_cell_angle_beta 90.00
_cell_angle_gamma 90.00
loop_
_atom_site_label
_atom_site_type_symbol
_atom_site_fract_x
_atom_site_fract_y
_atom_site_fract_z
Cd1 Cd 0.0000 0.0000 0.5000
Cu1 Cu 0.5000 0.5000 0.5000
W1 W 0.0000 0.0000 0.0000
```

Values from the calculation:
**Energy of formation from the pure elements**: 7.68 eV per formula unit
**Spin magnetization**: 2.86 μB per formula unit
**Energy above the most stable polymorph in this dataset**: 29.0 kJ/mol of atoms
**Crystal system**: cubic

[4]
Below is a relaxed structure of CdCuW2, with properties calculated at the PBE level.

```
data_CdCuW2
_space_group_name_H-M_alt 'C 1 m 1'
_space_group_IT_number 8
_cell_length_a 9.3035
_cell_length_b 2.6956
_cell_length_c 5.2197
_cell_angle_alpha 90.00
_cell_angle_beta 95.88
_cell_angle_gamma 90.00
loop_
_space_group_symop_operation_xyz
'x,y,z'
'x,-y,z'
'x+1/2,y+1/2,z'
'x+1/2,-y+1/2,z'
loop_
_atom_site_label
_atom_site_type_symbol
_atom_site_fract_x
_atom_site_fract_y
_atom_site_fract_z
Cd1 Cd 0.0000 0.0000 0.0000
Cu1 Cu 0.2507 0.5000 0.2279
W1 W 0.2460 0.0000 0.7077
W2 W 0.4906 0.0000 0.4909
```

Values from the calculation:
**Energy of formation from the pure elements**: 2.19 eV per formula unit
**Spin magnetization**: 0.00 μB per formula unit
**Crystal system**: monoclinic

[5]
Below is a relaxed structure of Cd2CuW, with properties calculated at the PBE level.

```
data_Cd2CuW
_space_group_name_H-M_alt 'P 4/m m m'
_space_group_IT_number 123
_space_group_name_Hall '-P 4 2'
_cell_length_a 5.0216
_cell_length_b 5.0216
_cell_length_c 2.8178
_cell_angle_alpha 90.00
_cell_angle_beta 90.00
_cell_angle_gamma 90.00
loop_
_atom_site_label
_atom_site_type_symbol
_atom_site_fract_x
_atom_site_fract_y
_atom_site_fract_z
Cd1 Cd 0.0000 0.5000 0.0000
Cu1 Cu 0.0000 0.0000 0.5000
W1 W 0.5000 0.5000 0.5000
```

Values from the calculation:
**Energy of formation from the pure elements**: 2.57 eV per formula unit
**Spin magnetization**: 0.01 μB per formula unit
**Energy above the most stable polymorph in this dataset**: 29.3 kJ/mol of atoms
**Crystal system**: tetragonal

[6]
Below is a relaxed structure of Cd2CuW, with properties calculated at the PBE level.

```
data_Cd2CuW
_space_group_name_H-M_alt 'F -4 3 m'
_space_group_IT_number 216
_space_group_name_Hall 'F -4 2 3'
_cell_length_a 6.5521
_cell_length_b 6.5521
_cell_length_c 6.5521
_cell_angle_alpha 90.00
_cell_angle_beta 90.00
_cell_angle_gamma 90.00
loop_
_atom_site_label
_atom_site_type_symbol
_atom_site_fract_x
_atom_site_fract_y
_atom_site_fract_z
Cd1 Cd 0.0000 0.0000 0.0000
Cd2 Cd 0.2500 0.2500 0.2500
Cu1 Cu 0.0000 0.0000 0.5000
W1 W 0.2500 0.2500 0.7500
```

Values from the calculation:
**Energy of formation from the pure elements**: 3.18 eV per formula unit
**Spin magnetization**: 2.08 μB per formula unit
**Energy above the most stable polymorph in this dataset**: 44.0 kJ/mol of atoms
**Crystal system**: cubic

Question: spin magnetization of number 4 (CdCuW2)?
Answer: 0.00 μB per formula unit